(1)
The following is a meta-GGA SCAN calculation of a PBEsol-optimized structure of ZrBrNF2, from Alexandria via LeMat-Bulk.

Output
- electronic total energy (eV per cell) = -75.56
- calculated volume (Å³/atom) = 14.76
- magnetic moment (μB/cell) = 0.0

a = 4.1025 Å, b = 4.1025 Å, c = 4.3859 Å
α = 90.00°, β = 90.00°, γ = 90.00°
With the nearest neighbours (Å) after each atom.
Space group P4/mmm (No. 123)
Inequivalent atoms, fractional coordinates:
Zr 0.0000 0.0000 0.0000 (multiplicity 1)  4 F 2.05, 2 N 2.19
Br 0.5000 0.5000 0.5000 (multiplicity 1)  4 N 2.90, 8 F 3.00
N 0.0000 0.0000 0.5000 (multiplicity 1)  2 Zr 2.19
F 0.0000 0.5000 0.0000 (multiplicity 2)  2 Zr 2.05

(2)
The following is a meta-GGA SCAN calculation of a PBEsol-optimized structure of Nb3AlCo8, from Alexandria via LeMat-Bulk.

Output
- ΔE_f (eV/atom) = -0.10
- calculated volume (Å³/atom) = 12.03
- magnetic moment (μB/cell) = 30.5

a = 4.6738 Å, b = 4.6738 Å, c = 22.8895 Å
α = 90.00°, β = 90.00°, γ = 120.00°
With the nearest neighbours (Å) after each atom.
Space group R3m (No. 160, hexagonal axes)
Inequivalent atoms, fractional coordinates:
Nb 0.0000 0.0000 0.0000 (multiplicity 3)  12 Co 2.68-2.78, 3 Al 2.82, 1 Nb 2.87
Nb 0.0000 0.0000 0.1252 (multiplicity 3)  12 Co 2.70-2.79, 4 Nb 2.87-2.92
Nb 0.0000 0.0000 0.5071 (multiplicity 3)  12 Co 2.69-2.81, 1 Al 2.83, 3 Nb 2.92
Al 0.0000 0.0000 0.6309 (multiplicity 3)  12 Co 2.69-2.77, 4 Nb 2.82-2.83
Co 0.0000 0.0000 0.3150 (multiplicity 3)  6 Co 2.32-2.36
Co 0.0000 0.0000 0.8156 (multiplicity 3)  6 Co 2.32-2.34
Co 0.1671 0.3341 0.3994 (multiplicity 9)  6 Co 2.32-2.36
Co 0.1683 0.3366 0.8989 (multiplicity 9)  6 Co 2.31-2.36

(3)
The following is a meta-GGA SCAN calculation of a PBEsol-optimized structure of CrIrOs, from Alexandria via LeMat-Bulk.

Output
- ΔE_f (eV/atom) = 0.49
- calculated volume (Å³/atom) = 16.14
- magnetic moment (μB/cell) = 11.8

a = 5.7862 Å, b = 5.7862 Å, c = 5.7862 Å
α = 90.00°, β = 90.00°, γ = 90.00°
With the nearest neighbours (Å) after each atom.
Space group F-43m (No. 216)
Inequivalent atoms, fractional coordinates:
Cr 0.0000 0.0000 0.0000 (multiplicity 4)  4 Ir 2.51
Ir 0.2500 0.2500 0.7500 (multiplicity 4)  4 Cr 2.51, 4 Os 2.51
Os 0.0000 0.0000 0.5000 (multiplicity 4)  4 Ir 2.51

(4)
The following is a meta-GGA SCAN calculation of a PBEsol-optimized structure of BaTaAl2Co, from Alexandria via LeMat-Bulk.

Output
- ΔE_f (eV/atom) = 1.00
- calculated volume (Å³/atom) = 22.00
- magnetic moment (μB/cell) = 3.7

a = 4.6193 Å, b = 4.6193 Å, c = 5.1551 Å
α = 90.00°, β = 90.00°, γ = 90.00°
With the nearest neighbours (Å) after each atom.
Space group P4/mmm (No. 123)
Inequivalent atoms, fractional coordinates:
Ba 0.0000 0.0000 0.0000 (multiplicity 1)  2 Co 2.58
Ta 0.5000 0.5000 0.0000 (multiplicity 1)  4 Ba 3.27, 8 Al 3.46
Al 0.0000 0.5000 0.5000 (multiplicity 2)  2 Co 2.31
Co 0.0000 0.0000 0.5000 (multiplicity 1)  4 Al 2.31, 2 Ba 2.58

Q: calculated volume of number 1 (ZrBrNF2)?
A: 14.76 Å³/atom